# 1
An optimized crystal structure of Sb3SI7. Source: Alexandria via LeMat-Bulk, functional PBE.

Unit cell a=8.537 b=8.537 c=7.545 alpha=90.00 beta=90.00 gamma=120.00
Element x y z (fractional)
1 Sb 0.176 0.352 0.000
2 Sb 0.176 0.824 0.000
3 Sb 0.648 0.824 0.000
4 S 0.333 0.667 0.172
5 I 0.000 0.000 0.748
6 I 0.001 0.500 0.752
7 I 0.337 0.168 0.232
8 I 0.500 0.500 0.752
9 I 0.500 0.999 0.752
10 I 0.832 0.168 0.232
11 I 0.832 0.663 0.232

The uncorrected formation energy comes out at -311 meV per atom. As for the space group: No. 156. As for the total energy: -2.797 eV per atom.

***

# 2
An optimized crystal structure of Pm3IrCl3. Source: Alexandria via LeMat-Bulk, functional PBE.

Unit cell a=10.189 b=10.189 c=10.189 alpha=109.47 beta=109.47 gamma=109.47
Element x y z (fractional)
1 Pm 0.012 0.024 0.262
2 Pm 0.012 0.488 0.750
3 Pm 0.024 0.262 0.012
4 Pm 0.238 0.262 0.750
5 Pm 0.238 0.476 0.488
6 Pm 0.262 0.012 0.024
7 Pm 0.262 0.750 0.238
8 Pm 0.476 0.488 0.238
9 Pm 0.488 0.238 0.476
10 Pm 0.488 0.750 0.012
11 Pm 0.750 0.012 0.488
12 Pm 0.750 0.238 0.262
13 Ir 0.000 0.250 0.500
14 Ir 0.250 0.250 0.250
15 Ir 0.250 0.500 0.000
16 Ir 0.500 0.000 0.250
17 Cl 0.000 0.000 0.750
18 Cl 0.000 0.500 0.250
19 Cl 0.000 0.750 0.000
20 Cl 0.250 0.000 0.500
21 Cl 0.250 0.750 0.750
22 Cl 0.500 0.250 0.000
23 Cl 0.500 0.500 0.750
24 Cl 0.500 0.750 0.500
25 Cl 0.750 0.000 0.000
26 Cl 0.750 0.250 0.750
27 Cl 0.750 0.500 0.500
28 Cl 0.750 0.750 0.250

The uncorrected formation energy comes out at -1602 meV per atom. As for the space group: No. 214. As for the total energy: -5.695 eV per atom. The density of states at the Fermi level comes out at 0.42 states/eV per atom.

***

# 3
An optimized crystal structure of YIn2Ga2. Source: Alexandria via LeMat-Bulk, functional PBE.

Unit cell a=7.850 b=7.850 c=3.773 alpha=90.00 beta=90.00 gamma=90.00
Element x y z (fractional)
1 Y 0.000 0.000 0.000
2 Y 0.500 0.500 0.000
3 In 0.171 0.329 0.500
4 In 0.329 0.829 0.500
5 In 0.671 0.171 0.500
6 In 0.829 0.671 0.500
7 Ga 0.124 0.624 0.000
8 Ga 0.376 0.124 0.000
9 Ga 0.624 0.876 0.000
10 Ga 0.876 0.376 0.000

As for the space group: No. 127. The energy of formation from the pure elements is -0.227 eV per atom. As for the total energy: -3.826 eV per atom. The density of states at the Fermi level comes out at 0.53 states/eV per atom. As for the energy above the most stable polymorph in this dataset: 0.0 kJ/mol of atoms.

***

# 4
An optimized crystal structure of Li5TlCd3. Source: Alexandria via LeMat-Bulk, functional PBE.

Unit cell a=8.970 b=8.970 c=7.967 alpha=116.25 beta=116.25 gamma=44.29
Element x y z (fractional)
1 Li 0.062 0.590 0.328
2 Li 0.158 0.842 0.000
3 Li 0.171 0.171 0.330
4 Li 0.345 0.345 0.033
5 Li 0.410 0.938 0.672
6 Li 0.590 0.062 0.328
7 Li 0.655 0.655 0.967
8 Li 0.829 0.829 0.670
9 Li 0.842 0.158 0.000
10 Li 0.938 0.410 0.672
11 Tl 0.336 0.336 0.642
12 Tl 0.664 0.664 0.358
13 Cd 0.008 0.008 0.335
14 Cd 0.172 0.172 0.989
15 Cd 0.500 0.500 0.000
16 Cd 0.500 0.500 0.500
17 Cd 0.828 0.828 0.011
18 Cd 0.992 0.992 0.665

As for the space group: No. 12. The energy of formation from the pure elements is -0.048 eV per atom. As for the total energy: -1.679 eV per atom. The density of states at the Fermi level comes out at 0.33 states/eV per atom.